TlSb2IBr: PBEsol geometry, meta-GGA SCAN.

```
TlSb2IBr
1.0
5.3782 0.0000 0.0000
0.0000 5.3782 0.0000
0.0000 0.0000 7.0549
Tl Sb I Br
1 2 1 1
Direct
0.0000 0.0000 0.0000
0.0000 0.5000 0.5000
0.5000 0.0000 0.5000
0.5000 0.5000 0.0000
0.5000 0.5000 0.5000
```

Properties
The formation energy (no corrections) comes out at 53.03 kJ per mole of atoms. The value obtained for the volume is 204.06 Å³/cell. For the size of the total moment, the calculation gives 2.2 μB per cell.

***

AgPPt5: PBEsol geometry, meta-GGA SCAN.

```
AgPPt5
1.0
3.8967 0.0000 0.0000
0.0000 3.8967 0.0000
0.0000 0.0000 6.9907
Ag P Pt
1 1 5
Direct
0.0000 0.0000 0.0000
0.5000 0.5000 0.5000
0.0000 0.5000 0.2962
0.0000 0.5000 0.7038
0.5000 0.0000 0.2962
0.5000 0.0000 0.7038
0.5000 0.5000 0.0000
```

Properties
The value obtained for the volume is 106.15 Å³/cell. As for the formation energy: -215 meV/atom. For the size of the total moment, the calculation gives 0.0 μB per cell.

***

CaBe4P: PBEsol geometry, meta-GGA SCAN.

```
CaBe4P
1.0
0.0000 3.3568 3.3568
3.3568 0.0000 3.3568
3.3568 3.3568 0.0000
Ca Be P
1 4 1
Direct
0.0000 0.0000 0.0000
0.3729 0.3729 0.3729
0.3729 0.3729 0.8812
0.3729 0.8812 0.3729
0.8812 0.3729 0.3729
0.7500 0.7500 0.7500
```

Properties
The value obtained for the volume is 75.65 Å³/cell. As for the formation energy: 425 meV/atom. For the size of the total moment, the calculation gives 0.0 μB per cell.

***

TlAg3: PBEsol geometry, meta-GGA SCAN.

```
TlAg3
1.0
3.1020 0.0000 0.0000
0.0000 3.9270 0.0000
0.0000 0.0000 6.1124
Tl Ag
1 3
Direct
0.0000 0.0000 0.0000
0.0000 0.0000 0.5000
0.5000 0.5000 0.2706
0.5000 0.5000 0.7294
```

Properties
The value obtained for the volume is 74.46 Å³/cell. As for the formation energy: 105 meV/atom. For the size of the total moment, the calculation gives 0.0 μB per cell.

***

LiVRh2: PBEsol geometry, meta-GGA SCAN.

```
LiVRh2
1.0
0.0000 2.9168 2.9168
2.9168 0.0000 2.9168
2.9168 2.9168 0.0000
Li V Rh
1 1 2
Direct
0.0000 0.0000 0.0000
0.5000 0.5000 0.5000
0.2500 0.2500 0.2500
0.7500 0.7500 0.7500
```

Properties
The value obtained for the volume is 49.63 Å³/cell. As for the formation energy: -531 meV/atom. For the size of the total moment, the calculation gives 0.0 μB per cell.

***

CdPtSe2N: PBEsol geometry, meta-GGA SCAN.

```
CdPtSe2N
1.0
5.2129 0.0000 0.0000
0.0000 5.2129 0.0000
0.0000 0.0000 3.6208
Cd Pt Se N
1 1 2 1
Direct
0.0000 0.0000 0.0000
0.5000 0.5000 0.5000
0.0000 0.5000 0.5000
0.5000 0.0000 0.5000
0.5000 0.5000 0.0000
```

Properties
The formation energy (no corrections) comes out at 32.30 kJ per mole of atoms. The value obtained for the volume is 98.39 Å³/cell. For the size of the total moment, the calculation gives 0.0 μB per cell.

***

NaTaReB2: PBEsol geometry, meta-GGA SCAN.

```
NaTaReB2
1.0
4.0266 0.0000 0.0000
0.0000 4.0266 0.0000
0.0000 0.0000 4.6383
Na Ta Re B
1 1 1 2
Direct
0.0000 0.0000 0.0000
0.5000 0.5000 0.0000
0.0000 0.0000 0.5000
0.0000 0.5000 0.5000
0.5000 0.0000 0.5000
```

Properties
The value obtained for the volume is 75.21 Å³/cell. As for the formation energy: 1828 meV/atom. For the size of the total moment, the calculation gives 0.6 μB per cell.

***

YMgTl2: PBEsol geometry, meta-GGA SCAN.

```
YMgTl2
1.0
0.0000 3.7255 3.7255
3.7255 0.0000 3.7255
3.7255 3.7255 0.0000
Y Mg Tl
1 1 2
Direct
0.0000 0.0000 0.0000
0.2500 0.2500 0.2500
0.5000 0.5000 0.5000
0.7500 0.7500 0.7500
```

Properties
The value obtained for the volume is 103.42 Å³/cell. As for the formation energy: -89 meV/atom. For the size of the total moment, the calculation gives 0.0 μB per cell.

***

What did the sixth record say?
CdPtSe2N: PBEsol geometry, meta-GGA SCAN.

```
CdPtSe2N
1.0
5.2129 0.0000 0.0000
0.0000 5.2129 0.0000
0.0000 0.0000 3.6208
Cd Pt Se N
1 1 2 1
Direct
0.0000 0.0000 0.0000
0.5000 0.5000 0.5000
0.0000 0.5000 0.5000
0.5000 0.0000 0.5000
0.5000 0.5000 0.0000
```

Properties
The formation energy (no corrections) comes out at 32.30 kJ per mole of atoms. The value obtained for the volume is 98.39 Å³/cell. For the size of the total moment, the calculation gives 0.0 μB per cell.